The following is a PBE calculation of a relaxed NaP3Ru3 crystal, from the Alexandria database.

Unit cell a=8.802 b=8.802 c=3.853 alpha=90.00 beta=90.00 gamma=120.00
Element x y z (fractional)
Na 0.333 0.667 0.250
Na 0.667 0.333 0.750
P 0.075 0.705 0.750
P 0.295 0.370 0.750
P 0.370 0.075 0.250
P 0.630 0.925 0.750
P 0.705 0.630 0.250
P 0.925 0.295 0.250
Ru 0.070 0.432 0.750
Ru 0.362 0.930 0.750
Ru 0.432 0.362 0.250
Ru 0.568 0.638 0.750
Ru 0.638 0.070 0.250
Ru 0.930 0.568 0.250

The total energy is -0.5018 Ry/atom. The calculation puts the total magnetization at 0.000 μB per formula unit. Its formation energy is -33.3 kJ per mole of atoms.

The following is a PBE calculation of a relaxed NaPRu2 crystal, from the Alexandria database.

Unit cell a=5.677 b=5.677 c=5.677 alpha=102.40 beta=102.40 gamma=124.80
Element x y z (fractional)
Na 0.000 0.000 0.000
Na 0.750 0.250 0.500
P 0.250 0.750 0.500
P 0.500 0.500 0.000
Ru 0.210 0.625 0.085
Ru 0.375 0.460 0.585
Ru 0.540 0.125 0.915
Ru 0.875 0.790 0.415

The total energy is -0.4489 Ry/atom. The calculation puts the total magnetization at 0.000 μB per formula unit. Its formation energy is 20.5 kJ per mole of atoms.

The following is a PBE calculation of a relaxed NaP2Ru crystal, from the Alexandria database.

Unit cell a=4.314 b=4.314 c=4.314 alpha=60.00 beta=60.00 gamma=60.00
Element x y z (fractional)
Na 0.000 0.000 0.000
P 0.250 0.250 0.250
P 0.750 0.750 0.750
Ru 0.500 0.500 0.500

The total energy is -0.3923 Ry/atom. The calculation puts the total magnetization at 0.000 μB per formula unit. Its formation energy is 1.5 kJ per mole of atoms. As for the distance to the lowest polymorph of the same formula: 151 meV/atom.

The following is a PBE calculation of a relaxed NaPRu crystal, from the Alexandria database.

Unit cell a=3.860 b=3.866 c=10.361 alpha=95.61 beta=95.17 gamma=119.71
Element x y z (fractional)
Na 0.161 0.165 0.328
Na 0.839 0.835 0.672
P 0.264 0.596 0.859
P 0.736 0.404 0.141
Ru 0.377 0.714 0.090
Ru 0.623 0.286 0.910

The total energy is -0.4218 Ry/atom. The calculation puts the total magnetization at 0.000 μB per formula unit. Its formation energy is -39.0 kJ per mole of atoms.

The following is a PBE calculation of a relaxed NaPRu crystal, from the Alexandria database.

Unit cell a=3.113 b=5.212 c=7.209 alpha=98.93 beta=102.46 gamma=107.35
Element x y z (fractional)
Na 0.213 0.291 0.136
Na 0.787 0.709 0.864
P 0.435 0.135 0.736
P 0.565 0.865 0.264
Ru 0.113 0.750 0.474
Ru 0.887 0.250 0.526

The total energy is -0.4154 Ry/atom. The calculation puts the total magnetization at 0.000 μB per formula unit. Its formation energy is -30.6 kJ per mole of atoms.

The following is a PBE calculation of a relaxed NaP2Ru2 crystal, from the Alexandria database.

Unit cell a=7.119 b=7.119 c=2.822 alpha=90.00 beta=90.00 gamma=90.00
Element x y z (fractional)
Na 0.000 0.000 0.000
Na 0.500 0.500 0.000
P 0.145 0.355 0.000
P 0.355 0.855 0.000
P 0.645 0.145 0.000
P 0.855 0.645 0.000
Ru 0.141 0.641 0.500
Ru 0.359 0.141 0.500
Ru 0.641 0.859 0.500
Ru 0.859 0.359 0.500

The total energy is -0.4679 Ry/atom. The calculation puts the total magnetization at 0.000 μB per formula unit. Its formation energy is -22.0 kJ per mole of atoms.

The following is a PBE calculation of a relaxed Na2P2Ru crystal, from the Alexandria database.

Unit cell a=6.038 b=6.038 c=4.828 alpha=90.00 beta=90.00 gamma=90.00
Element x y z (fractional)
Na 0.184 0.316 0.000
Na 0.316 0.816 0.000
Na 0.684 0.184 0.000
Na 0.816 0.684 0.000
P 0.133 0.633 0.500
P 0.367 0.133 0.500
P 0.633 0.867 0.500
P 0.867 0.367 0.500
Ru 0.000 0.000 0.500
Ru 0.500 0.500 0.500

The total energy is -0.3651 Ry/atom. The calculation puts the total magnetization at 0.000 μB per formula unit. Its formation energy is -40.5 kJ per mole of atoms.

The following is a PBE calculation of a relaxed NaP2Ru crystal, from the Alexandria database.

Unit cell a=6.711 b=6.711 c=6.711 alpha=124.96 beta=124.96 gamma=81.60
Element x y z (fractional)
Na 0.000 0.000 0.000
Na 0.750 0.250 0.500
P 0.221 0.625 0.096
P 0.375 0.471 0.596
P 0.529 0.125 0.904
P 0.875 0.779 0.404
Ru 0.250 0.750 0.500
Ru 0.500 0.500 0.000

The total energy is -0.4034 Ry/atom. The calculation puts the total magnetization at 0.000 μB per formula unit. Its formation energy is -13.0 kJ per mole of atoms. As for the distance to the lowest polymorph of the same formula: 0 meV/atom.